Density functional theory data (PBE) for an optimized crystal structure of Tc2Ru3Rh4.

Computed properties:
The value obtained for the formation energy is -0.0595 eV per atom. As for the space group: P-1. For the density of states at the Fermi level, the calculation gives 0.999 states/eV/atom.

Cell lengths 4.7477, 6.9890, 8.4467 Å; angles 71.47, 73.82, 89.96 degrees
Atoms (fractional coordinates):
Tc 0.6117 0.8624 0.6112
Tc 0.8324 0.4154 0.1644
Tc 0.3883 0.1376 0.3888
Tc 0.1676 0.5846 0.8356
Ru 0.0570 0.9691 0.7212
Ru 0.3869 0.3078 0.0585
Ru 0.9430 0.0309 0.2788
Ru 0.6131 0.6922 0.9415
Ru 0.2809 0.3594 0.6111
Ru 0.7191 0.6406 0.3889
Rh 0.5002 0.0806 0.8341
Rh 0.9475 0.1982 0.9411
Rh 0.4998 0.9194 0.1659
Rh 0.0525 0.8018 0.0589
Rh 0.1671 0.7494 0.5004
Rh 0.2794 0.5242 0.2803
Rh 0.8329 0.2506 0.4996
Rh 0.7206 0.4758 0.7197

Density functional theory data (PBE) for an optimized crystal structure of Tc4Ru2Rh.

Computed properties:
The value obtained for the formation energy is 0.4108 eV per atom. As for the space group: I4/mcm. For the density of states at the Fermi level, the calculation gives 1.082 states/eV/atom.

Cell lengths 6.6768, 6.6768, 6.6768 Å; angles 102.35, 113.14, 113.14 degrees
Atoms (fractional coordinates):
Tc 0.7956 0.8165 0.3165
Tc 0.2044 0.5208 0.0208
Tc 0.5000 0.3165 0.5208
Tc 0.5000 0.0208 0.8165
Tc 0.5000 0.9792 0.1835
Tc 0.5000 0.6835 0.4792
Tc 0.7956 0.4792 0.9792
Tc 0.2044 0.1835 0.6835
Ru 0.7962 0.1481 0.6481
Ru 0.2038 0.8519 0.3519
Ru 0.5000 0.6481 0.8519
Ru 0.5000 0.3519 0.1481
Rh 0.0000 0.2500 0.2500
Rh 0.0000 0.7500 0.7500

Density functional theory data (PBE) for an optimized crystal structure of TcRuRh.

Computed properties:
Its energy above the most stable polymorph in this dataset is 0.34 eV per formula unit. The value obtained for the formation energy is -0.0004 eV per atom. As for the space group: Imm2. For the density of states at the Fermi level, the calculation gives 1.179 states/eV/atom.

Cell lengths 4.7066, 4.7066, 4.7066 Å; angles 146.67, 131.37, 60.23 degrees
Atoms (fractional coordinates):
Rh 0.9997 0.9997 0.0000
Ru 0.3308 0.3308 0.0000
Tc 0.6695 0.6695 0.0000